Record 1
This record from the Alexandria database describes ZrPSeS2 at its PBEsol-relaxed geometry. The functional is meta-GGA SCAN.

Calculated values
Size of the total moment = 0.15 μB/atom
Formation energy without anion corrections = 0.032 eV/atom

Unit cell a=4.7782 b=4.7782 c=5.2786 alpha=90.00 beta=90.00 gamma=90.00
Closest atoms and distances in Å follow each position.
Atoms (fractional coordinates):
Se1 0.5000 0.5000 0.5000  4 P 3.38, 8 S 3.56
S1 0.0000 0.5000 0.0000  2 Zr 2.39
S2 0.5000 0.0000 0.0000  2 Zr 2.39
P1 0.0000 0.0000 0.5000  2 Zr 2.64
Zr1 0.0000 0.0000 0.0000  4 S 2.39, 2 P 2.64

Record 2
This record from the Alexandria database describes CoTc2 at its PBEsol-relaxed geometry. The functional is meta-GGA SCAN.

Calculated values
Calculated formation energy = 37 kJ/mol of formula units
Energy relative to the lowest polymorph listed for this composition = 0.230 eV/f.u.
Size of the total moment = 0.17 μB/atom

Unit cell a=2.6440 b=4.9505 c=6.1922 alpha=103.02 beta=90.00 gamma=105.49
Closest atoms and distances in Å follow each position.
Atoms (fractional coordinates):
Tc1 0.7142 0.4285 0.9540  4 Co 2.50-2.67, 8 Tc 2.63-2.68
Tc2 0.3336 0.6672 0.6666  8 Tc 2.54-2.68, 4 Co 2.64
Tc3 0.3914 0.7829 0.2719  5 Co 2.54-2.62, 7 Tc 2.63-2.66
Tc4 0.0608 0.1216 0.6066  3 Co 2.53-2.63, 9 Tc 2.54-2.66
Co1 0.6674 0.3347 0.3351  8 Tc 2.50-2.64, 4 Co 2.64-2.66
Co2 0.9992 0.9985 0.9992  8 Tc 2.51-2.67, 4 Co 2.64-2.66